# FeAs4Ir

A PBEsol-optimized structure of FeAs4Ir (SCAN, the Alexandria database).

```
6
Lattice="0.000 3.716 3.716 3.716 0.000 3.716 3.716 3.716 0.000" Properties=species:S:1:pos:R:3 pbc="T T T"
Fe 0.000 0.000 0.000
As 2.781 2.781 2.781
As 4.650 4.650 2.781
As 4.650 2.781 4.650
As 2.781 4.650 4.650
Ir 5.574 5.574 5.574
```

Output
calculated volume: 17.10 Å³ per atom
DOS at the Fermi energy: 4.0 states/eV/f.u.
final energy: -27.369 eV per atom
formation enthalpy at 0 K: 0.96 eV per atom
M_tot: 2.97 μB per cell



# FeAsIrN2

A PBEsol-optimized structure of FeAsIrN2 (SCAN, the Alexandria database).

```
5
Lattice="3.675 0.000 0.000 0.000 3.675 0.000 0.000 0.000 5.364" Properties=species:S:1:pos:R:3 pbc="T T T"
Fe 0.000 0.000 0.000
As 1.837 1.837 0.000
Ir 0.000 0.000 2.682
N 0.000 1.837 2.682
N 1.837 0.000 2.682
```

Output
calculated volume: 14.49 Å³ per atom
DOS at the Fermi energy: 4.6 states/eV/f.u.
formation energy without anion corrections: 0.996 eV per atom
final energy: -24.605 eV per atom
M_tot: 2.87 μB per cell



# FeAsIrRh2

A PBEsol-optimized structure of FeAsIrRh2 (SCAN, the Alexandria database).

```
5
Lattice="4.379 0.000 0.000 0.000 4.379 0.000 0.000 0.000 4.376" Properties=species:S:1:pos:R:3 pbc="T T T"
Fe 0.000 0.000 0.000
As 2.189 2.189 2.188
Ir 0.000 0.000 2.188
Rh 0.000 2.189 0.000
Rh 2.189 0.000 0.000
```

Output
calculated volume: 16.78 Å³ per atom
DOS at the Fermi energy: 5.6 states/eV/f.u.
final energy: -34.156 eV per atom
formation enthalpy at 0 K: 1.24 eV per atom
M_tot: 4.43 μB per cell



# La2FeAs

A PBEsol-optimized structure of La2FeAs (SCAN, the Alexandria database).

```
4
Lattice="3.715 0.000 0.000 0.000 3.715 0.000 0.000 0.000 6.860" Properties=species:S:1:pos:R:3 pbc="T T T"
La 0.000 0.000 1.702
La 0.000 0.000 5.158
Fe 1.857 1.857 3.430
As 1.857 1.857 0.000
```

Output
calculated volume: 23.67 Å³ per atom
DOS at the Fermi energy: 2.0 states/eV/f.u.
final energy: -31.653 eV per atom
formation enthalpy at 0 K: -0.52 eV per atom
M_tot: 1.83 μB per cell



# La2FeAs2

A PBEsol-optimized structure of La2FeAs2 (SCAN, the Alexandria database).

```
5
Lattice="-2.963 2.963 4.075 2.963 -2.963 4.075 2.963 2.963 -4.075" Properties=species:S:1:pos:R:3 pbc="T T T"
La 2.963 0.000 2.038
La 0.000 2.963 2.038
Fe 0.000 0.000 0.000
As 0.000 0.000 2.311
As 0.000 0.000 5.840
```

Output
calculated volume: 28.62 Å³ per atom
DOS at the Fermi energy: 2.6 states/eV/f.u.
final energy: -29.618 eV per atom
formation enthalpy at 0 K: -0.67 eV per atom
M_tot: 2.58 μB per cell



# LaFe2AsN

A PBEsol-optimized structure of LaFe2AsN (SCAN, the Alexandria database).

```
10
Lattice="1.916 -5.337 0.000 1.916 5.337 0.000 0.000 0.000 6.821" Properties=species:S:1:pos:R:3 pbc="T T T"
La 1.916 4.783 5.116
La 1.916 -4.783 1.705
Fe 1.916 1.706 3.785
Fe 1.916 1.706 6.447
Fe 1.916 -1.706 0.374
Fe 1.916 -1.706 3.036
As 1.916 2.920 1.705
As 1.916 -2.920 5.116
N 1.916 0.000 0.000
N 1.916 0.000 3.411
```

Output
calculated volume: 13.95 Å³ per atom
DOS at the Fermi energy: 2.5 states/eV/f.u.
formation energy without anion corrections: -0.658 eV per atom
final energy: -22.427 eV per atom
M_tot: 0.00 μB per cell